Ta2ZnBTe PBE optimized geometry; energy = -22.37 eV/cell; formation energy from raw total energies = 2.485 eV per atom; symmetry = No. 123
1.0
-1.840 -1.221 -4.560
4.032 -2.511 -0.955
-2.122 -4.157 1.970
Te Ta Zn B
1 2 1 1
Direct
0.000 0.000 0.000
0.500 0.000 0.000
0.000 0.000 0.500
0.000 0.500 0.000
0.500 0.500 0.500


AcHo2TmTl4 PBE optimized geometry; energy of formation from the pure elements = -294 meV/atom; energy = -29.56 eV/cell; symmetry = No. 166
1.0
-1.869 3.975 3.243
-0.385 -0.824 5.384
7.687 4.140 3.953
Tl Tm Ac Ho
4 1 1 2
Direct
0.871 0.871 0.387
0.619 0.619 0.143
0.381 0.381 0.857
0.129 0.129 0.613
0.500 0.500 0.500
0.000 0.000 0.000
0.248 0.248 0.257
0.752 0.752 0.743


TlRu3 PBE optimized geometry; energy relative to the lowest polymorph listed for this composition = 304 meV/atom; energy of formation from the pure elements = 752 meV/atom; energy = -54.37 eV/cell; symmetry = No. 223
1.0
-1.772 -3.602 -3.077
4.167 -2.747 0.816
-2.253 -2.249 3.930
Ru Tl
6 2
Direct
0.500 0.000 0.250
0.250 0.500 0.000
0.000 0.750 0.500
0.000 0.250 0.500
0.750 0.500 0.000
0.500 0.000 0.750
0.000 0.000 0.000
0.500 0.500 0.500


These records have volume values of 124.36, 233.71, 129.37 Å³ per cell, in the order they appear.
These records have magnetization values of 0.00, 0.00, 0.00 μB/cell, in the order they appear.
These records have calculated density values of 7.55, 10.97, 13.03 g/cm3, in the order they appear.